Here is crystalline RbAg4As12 at its relaxed geometry from Alexandria. Energies are from PBE-GGA.

```
RbAg4As12
1.0
-4.602 4.602 4.602
4.602 -4.602 4.602
4.602 4.602 -4.602
Rb Ag As
1 4 12
direct
0.000 0.000 0.000
0.500 0.000 0.000
0.000 0.500 0.000
0.000 0.000 0.500
0.500 0.500 0.500
0.137 0.634 0.772
0.366 0.228 0.863
0.503 0.137 0.366
0.366 0.503 0.137
0.497 0.863 0.634
0.634 0.772 0.137
0.772 0.137 0.634
0.228 0.863 0.366
0.634 0.497 0.863
0.137 0.366 0.503
0.863 0.634 0.497
0.863 0.366 0.228
```

Calculated values
Magnetic moment   0.00 μB/atom
Energy   -3.991 eV/atom
Space group   Im-3, No. 204
ΔH_f (0 K)   19 meV per atom
Fermi-level density of states   4.47 states/eV per cell

Here is crystalline Rb2AgAs at its relaxed geometry from Alexandria. Energies are from PBE-GGA.

```
Rb2AgAs
1.0
-9.832 8.710 -0.833
-5.922 -5.701 10.279
-6.663 3.022 6.264
As Rb Ag
2 4 2
direct
0.500 0.500 0.000
0.250 0.750 0.500
0.429 0.125 0.250
0.321 0.625 0.250
0.375 0.571 0.750
0.875 0.679 0.750
0.000 0.000 0.000
0.750 0.250 0.500
```

Calculated values
Magnetic moment   0.00 μB/atom
Energy   -2.518 eV/atom
Space group   I-42d, No. 122
ΔH_f (0 K)   -159 meV per atom
Fermi-level density of states   1.32 states/eV per cell

Here is crystalline RbAgAs at its relaxed geometry from Alexandria. Energies are from PBE-GGA.

```
RbAgAs
1.0
5.529 0.000 0.000
0.000 4.430 0.000
0.000 -2.215 3.837
As Rb Ag
1 1 1
direct
0.167 0.000 0.000
0.667 0.333 0.667
0.167 0.667 0.333
```

Calculated values
Magnetic moment   0.05 μB/atom
Energy   -2.995 eV/atom
Space group   P-6m2, No. 187
Distance to the lowest polymorph of the same formula   10 kJ/mol of formula units
ΔH_f (0 K)   -172 meV per atom
Fermi-level density of states   2.41 states/eV per cell

Here is crystalline RbAgAs2 at its relaxed geometry from Alexandria. Energies are from PBE-GGA.

```
RbAgAs2
1.0
5.157 0.000 0.000
0.000 5.157 0.000
2.579 2.579 9.318
As Rb Ag
4 2 2
direct
0.827 0.125 0.250
0.923 0.625 0.250
0.375 0.173 0.750
0.875 0.077 0.750
0.500 0.500 0.000
0.250 0.750 0.500
0.000 0.000 0.000
0.750 0.250 0.500
```

Calculated values
Magnetic moment   0.00 μB/atom
Energy   -3.301 eV/atom
Space group   I-42d, No. 122
ΔH_f (0 K)   -22 meV per atom
Fermi-level density of states   3.93 states/eV per cell